TcGe3H after structural relaxation. Source: Alexandria via LeMat-Bulk, functional PBE.

Structure (POSCAR):
```
TcGe3H
1.0
4.106 0.000 0.000
0.000 4.106 0.000
0.000 0.000 4.106
H Tc Ge
1 1 3
Direct
0.000 0.000 0.000 H
0.500 0.500 0.500 Tc
0.000 0.500 0.000 Ge
0.000 0.000 0.500 Ge
0.500 0.000 0.000 Ge
```

As for the symmetry: No. 221. Its relative energy among the computed polymorphs is 0.163 eV per atom. The value obtained for the calculated volume is 69.2 Å³/f.u.

=====

GdDyMnOs after structural relaxation. Source: Alexandria via LeMat-Bulk, functional PBE.

Structure (POSCAR):
```
GdDyMnOs
1.0
4.922 0.000 0.000
2.461 4.262 0.000
2.461 1.421 4.019
Mn Gd Os Dy
1 1 1 1
Direct
0.000 0.000 0.000 Mn
0.250 0.250 0.250 Gd
0.500 0.500 0.500 Os
0.750 0.750 0.750 Dy
```

As for the formation energy: 0.045 eV per atom. As for the symmetry: No. 216. The value obtained for the calculated volume is 84.3 Å³/f.u.